# 1
Below is an optimized crystal structure of LiSc3In2, with properties calculated at the PBE-GGA level.

For the formation energy, the calculation gives -320.0 meV/atom.

The space group is P-3m1 (No. 164) and the conventional cell measures 4.9829, 4.9829 and 12.2569 Å, with angles of 90.00, 90.00 and 120.00 degrees. The asymmetric unit holds Li at (0.3333, 0.6667, 0.1698), Sc at (0.0000, 0.0000, 0.2488), Sc at (0.3333, 0.6667, 0.4153), Sc at (0.3333, 0.6667, 0.9190), In at (0.0000, 0.0000, 0.0000), In at (0.0000, 0.0000, 0.5000) and In at (0.3333, 0.6667, 0.6782).

# 2
Below is an optimized crystal structure of CeTh2, with properties calculated at the PBE-GGA level.

For the formation energy, the calculation gives 18.0 meV/atom.

The space group is P-3m1 (No. 164) and the conventional cell measures 3.5143, 3.5143 and 8.5374 Å, with angles of 90.00, 90.00 and 120.00 degrees. The asymmetric unit holds Ce at (0.0000, 0.0000, 0.0000) and Th at (0.3333, 0.6667, 0.6691).

# 3
Below is an optimized crystal structure of HfSbO3, with properties calculated at the PBE-GGA level.

The space group is Pm-3m (No. 221) and the conventional cell measures 4.105, 4.105 and 4.105 Å, with angles of 90.00, 90.00 and 90.00 degrees. The asymmetric unit holds Hf at (0.000, 0.000, 0.000), Sb at (0.500, 0.500, 0.500) and O at (0.000, 0.000, 0.500).

# 4
Below is an optimized crystal structure of PuBiPdRh, with properties calculated at the PBE-GGA level.

For the formation energy, the calculation gives -336.5 meV/atom.

The space group is F-43m (No. 216) and the conventional cell measures 6.914, 6.914 and 6.914 Å, with angles of 90.00, 90.00 and 90.00 degrees. The asymmetric unit holds Pu at (0.000, 0.000, 0.000), Bi at (0.000, 0.000, 0.500), Pd at (0.250, 0.250, 0.750) and Rh at (0.250, 0.250, 0.250).

no.,DFT total energy (eV/f.u.),M_tot (μB per cell)
1,-28.3,0.0
2,-20.7,0.0
3,-39.2,0.0
4,-32.1,19.8